# 1
The following is a DFT calculation (GGA-PBE) of a relaxed TbBe2Ru2C crystal.

Cell lengths 4.016, 4.016, 5.061 Å; angles 90.00, 90.00, 90.00 degrees
Element x y z (fractional)
Tb: 0.000 0.000 0.500
Be: 0.500 0.500 0.737
Be: 0.500 0.500 0.263
Ru: 0.500 0.000 0.000
Ru: 0.000 0.500 0.000
C: 0.000 0.000 0.000

Computed properties:
calculated volume = 13.602 Å³ per atom
space group = P4/mmm (123)

# 2
The following is a DFT calculation (GGA-PBE) of a relaxed Tb4PrEr crystal.

Cell lengths 6.928, 6.928, 9.764 Å; angles 90.00, 90.00, 121.88 degrees
Element x y z (fractional)
Tb: 0.653 0.347 0.930
Tb: 0.347 0.653 0.430
Tb: 0.347 0.653 0.070
Tb: 0.653 0.347 0.570
Tb: 0.362 0.154 0.250
Tb: 0.638 0.846 0.750
Tb: 0.154 0.362 0.750
Tb: 0.846 0.638 0.250
Pr: 0.177 0.823 0.750
Pr: 0.823 0.177 0.250
Er: 0.000 0.000 0.000
Er: 0.000 0.000 0.500

Computed properties:
calculated volume = 33.161 Å³ per atom
space group = Cmcm (63)
E above lowest polymorph = 49 meV/atom

# 3
The following is a DFT calculation (GGA-PBE) of a relaxed Cs2YTeI crystal.

Cell lengths 6.992, 5.891, 6.992 Å; angles 90.00, 90.00, 90.00 degrees
Site moments in Bohr magnetons follow the coordinates.
Element x y z (fractional)
Cs: 0.000 0.000 0.500  0.02
Cs: 0.500 0.000 0.000  0.01
I: 0.000 0.000 0.000  0.00
Te: 0.500 0.500 0.500  -0.01
Y: 0.000 0.500 0.000  0.77

Computed properties:
calculated volume = 57.596 Å³ per atom
E_form (uncorrected) = -0.2584 eV per atom
space group = P4/mmm (123)

# 4
The following is a DFT calculation (GGA-PBE) of a relaxed LaSm6Dy2Mg crystal.

Cell lengths 8.861, 9.231, 9.231 Å; angles 118.82, 90.36, 90.36 degrees
Element x y z (fractional)
La: 0.250 0.964 0.036
La: 0.750 0.036 0.964
Sm: 0.050 0.124 0.795
Sm: 0.450 0.205 0.876
Sm: 0.950 0.876 0.205
Sm: 0.550 0.795 0.124
Sm: 0.301 0.044 0.468
Sm: 0.199 0.532 0.956
Sm: 0.699 0.956 0.532
Sm: 0.801 0.468 0.044
Sm: 0.088 0.735 0.471
Sm: 0.412 0.529 0.265
Sm: 0.912 0.265 0.529
Sm: 0.588 0.471 0.735
Dy: 0.443 0.780 0.673
Dy: 0.057 0.327 0.220
Dy: 0.557 0.220 0.327
Dy: 0.943 0.673 0.780
Mg: 0.250 0.443 0.557
Mg: 0.750 0.557 0.443

Computed properties:
calculated volume = 33.074 Å³ per atom
space group = C2/c (15)

# 5
The following is a DFT calculation (GGA-PBE) of a relaxed Tb6Pr7Er16 crystal.

Cell lengths 11.223, 11.223, 11.223 Å; angles 60.00, 60.00, 60.00 degrees
Element x y z (fractional)
Tb: 0.255 0.745 0.255
Tb: 0.745 0.255 0.745
Tb: 0.745 0.255 0.255
Tb: 0.255 0.745 0.745
Tb: 0.745 0.745 0.255
Tb: 0.255 0.255 0.745
Pr: 0.000 0.000 0.000
Pr: 0.500 0.000 0.500
Pr: 0.000 0.500 0.000
Pr: 0.000 0.500 0.500
Pr: 0.500 0.000 0.000
Pr: 0.000 0.000 0.500
Pr: 0.500 0.500 0.000
Er: 0.870 0.870 0.390
Er: 0.870 0.870 0.870
Er: 0.870 0.390 0.870
Er: 0.390 0.870 0.870
Er: 0.130 0.130 0.130
Er: 0.130 0.130 0.610
Er: 0.130 0.610 0.130
Er: 0.610 0.130 0.130
Er: 0.649 0.649 0.052
Er: 0.649 0.649 0.649
Er: 0.649 0.052 0.649
Er: 0.052 0.649 0.649
Er: 0.351 0.351 0.351
Er: 0.351 0.351 0.948
Er: 0.351 0.948 0.351
Er: 0.948 0.351 0.351

Computed properties:
calculated volume = 34.466 Å³ per atom
space group = Fm-3m (225)

It is found that the calculated total energy values, taken in the order of the records, are -41.71 -52.77 -14.15 -85.78 -126.80 eV/cell.